This record from Alexandria describes a geometry-optimized HfZn4Cu4 structure. The functional is GGA-PBE.

POSCAR file:
```
HfZn4Cu4
1.0
-4.2188 4.2188 1.8092
4.2188 -4.2188 1.8092
4.2188 4.2188 -1.8092
Hf Zn Cu
1 4 4
direct
0.0000 0.0000 0.0000
0.0000 0.3314 0.3314
0.0000 0.6686 0.6686
0.3314 0.0000 0.3314
0.6686 0.0000 0.6686
0.3277 0.3277 0.6554
0.3277 0.6723 0.0000
0.6723 0.3277 0.0000
0.6723 0.6723 0.3446
```

Final energy in eV per atom: -3.56
Theoretical density in kg/m3: 8951
Space-group type: I4/mmm (139)

***

This record from Alexandria describes a geometry-optimized Hf2ZnCu4 structure. The functional is GGA-PBE.

POSCAR file:
```
Hf2ZnCu4
1.0
-2.1756 2.1756 6.6714
2.1756 -2.1756 6.6714
2.1756 2.1756 -6.6714
Hf Zn Cu
2 1 4
direct
0.1286 0.1286 0.0000
0.8714 0.8714 0.0000
0.5000 0.5000 0.0000
0.0000 0.5000 0.5000
0.3220 0.3220 0.0000
0.5000 0.0000 0.5000
0.6780 0.6780 0.0000
```

Final energy in eV per atom: -4.83
Theoretical density in kg/m3: 8894
Space-group type: I4/mmm (139)

***

This record from Alexandria describes a geometry-optimized HfZn6Cu4 structure. The functional is GGA-PBE.

POSCAR file:
```
HfZn6Cu4
1.0
-3.1098 3.1098 4.5463
3.1098 -3.1098 4.5463
3.1098 3.1098 -4.5463
Hf Zn Cu
1 6 4
direct
0.0000 0.0000 0.0000
0.0000 0.5000 0.5000
0.1095 0.4637 0.0000
0.4637 0.1095 0.0000
0.5000 0.0000 0.5000
0.5363 0.5363 0.6458
0.8905 0.8905 0.3542
0.2586 0.2586 0.6544
0.3958 0.7414 0.0000
0.6042 0.6042 0.3456
0.7414 0.3958 0.0000
```

Final energy in eV per atom: -3.05
Theoretical density in kg/m3: 7791
Space-group type: I-42m (121)

***

This record from Alexandria describes a geometry-optimized Hf4ZnCu structure. The functional is GGA-PBE.

POSCAR file:
```
Hf4ZnCu
1.0
6.8257 0.0000 0.0000
0.0000 6.8257 0.0000
0.0000 0.0000 4.9245
Hf Zn Cu
8 2 2
direct
0.1491 0.3430 0.0000
0.1491 0.6570 0.5000
0.3430 0.1491 0.5000
0.3430 0.8509 0.0000
0.6570 0.1491 0.0000
0.6570 0.8509 0.5000
0.8509 0.3430 0.5000
0.8509 0.6570 0.0000
0.5000 0.5000 0.2500
0.5000 0.5000 0.7500
0.0000 0.0000 0.2500
0.0000 0.0000 0.7500
```

Final energy in eV per atom: -7.63
Theoretical density in kg/m3: 12201
Space-group type: P4/mcc (124)

***

| no. | DFT formation energy (meV/atom) |
| --- | --- |
| 1 | -71 |
| 2 | 540 |
| 3 | 37 |
| 4 | -99 |